No. 1
First-principles (PBE with a Hubbard U) data for a geometry-optimized BaMnCo2F8 structure, as listed in the Alexandria database.

```
BaMnCo2F8
1.0
4.5234 0.0000 0.0000
-0.4013 5.1372 0.0000
-0.2336 -0.7117 7.9511
Ba Mn Co F
1 1 2 8
Direct
0.0000 0.0000 0.0000
0.0000 0.0000 0.5000
0.4792 0.5346 0.6950
0.5208 0.4654 0.3050
0.1347 0.2385 0.3109
0.1744 0.2450 0.7235
0.3543 0.7224 0.4880
0.4438 0.7280 0.9154
0.5562 0.2720 0.0846
0.6457 0.2776 0.5120
0.8256 0.7550 0.2765
0.8653 0.7615 0.6891
```

- energy (eV/atom) = -5.523
- DOS(E_F) (states/eV/atom) = 0.000
- total magnetization (μB per formula unit) = 10.912

---

No. 2
First-principles (PBE with a Hubbard U) data for a geometry-optimized BaMn2CoF8 structure, as listed in the Alexandria database.

```
BaMn2CoF8
1.0
5.0466 0.0000 0.0000
-0.2646 5.2000 0.0000
-0.0120 -0.0041 7.0084
Ba Mn Co F
1 2 1 8
Direct
0.0000 0.0000 0.0000
0.4995 0.4998 0.7286
0.5005 0.5002 0.2714
0.0000 0.0000 0.5000
0.1799 0.2255 0.3008
0.1809 0.2224 0.6986
0.3159 0.7140 0.5001
0.3869 0.7023 0.9999
0.6131 0.2977 0.0001
0.6841 0.2860 0.4999
0.8191 0.7776 0.3014
0.8201 0.7745 0.6992
```

- energy (eV/atom) = -5.761
- DOS(E_F) (states/eV/atom) = 0.000
- total magnetization (μB per formula unit) = 10.996

---

No. 3
First-principles (PBE with a Hubbard U) data for a geometry-optimized BaNa2CoF8 structure, as listed in the Alexandria database.

```
BaNa2CoF8
1.0
4.5737 0.0000 0.0000
0.2074 5.5112 0.0000
0.6272 0.9173 7.3706
Ba Na Co F
1 2 1 8
Direct
0.0000 0.0000 0.0000
0.4501 0.4546 0.2506
0.5499 0.5454 0.7494
0.0000 0.0000 0.5000
0.1149 0.7780 0.6903
0.1957 0.8293 0.3318
0.2998 0.1950 0.5094
0.4665 0.2597 0.9948
0.5335 0.7403 0.0052
0.7002 0.8050 0.4906
0.8043 0.1707 0.6682
0.8851 0.2220 0.3097
```

- energy (eV/atom) = -4.596
- total magnetization (μB per formula unit) = 0.998

---

No. 4
First-principles (PBE with a Hubbard U) data for a geometry-optimized BaNaCoF6 structure, as listed in the Alexandria database.

```
BaNaCoF6
1.0
5.6127 0.0000 0.0000
-2.8063 4.8607 0.0000
0.0000 0.0000 10.7137
Ba Na Co F
2 2 2 12
Direct
0.0000 0.0000 0.0000
0.0000 0.0000 0.5000
0.3333 0.6667 0.2500
0.6667 0.3333 0.7500
0.3333 0.6667 0.7500
0.6667 0.3333 0.2500
0.0563 0.3977 0.6491
0.0563 0.6585 0.8509
0.3415 0.3977 0.8509
0.3415 0.9437 0.6491
0.3977 0.0563 0.1491
0.3977 0.3415 0.3509
0.6023 0.6585 0.6491
0.6023 0.9437 0.8509
0.6585 0.0563 0.3509
0.6585 0.6023 0.1491
0.9437 0.3415 0.1491
0.9437 0.6023 0.3509
```

- energy (eV/atom) = -4.936
- DOS(E_F) (states/eV/atom) = 0.000
- total magnetization (μB per formula unit) = 0.094

---

No. 5
First-principles (PBE with a Hubbard U) data for a geometry-optimized Ba2NaCoF8 structure, as listed in the Alexandria database.

```
Ba2NaCoF8
1.0
4.5271 0.0000 0.0000
-0.2036 5.6134 0.0000
-0.1258 -0.3909 7.5023
Ba Na Co F
2 1 1 8
Direct
0.2066 0.4853 0.2621
0.7934 0.5147 0.7379
0.5000 0.0000 0.0000
0.5000 0.0000 0.5000
0.2674 0.7442 0.5755
0.2680 0.6518 0.9451
0.2792 0.2394 0.6127
0.2894 0.0047 0.2798
0.7106 0.9953 0.7202
0.7208 0.7606 0.3873
0.7320 0.3482 0.0549
0.7326 0.2558 0.4245
```

- energy (eV/atom) = -5.088
- DOS(E_F) (states/eV/atom) = 0.000
- total magnetization (μB per formula unit) = 0.088

---

No. 6
First-principles (PBE with a Hubbard U) data for a geometry-optimized Ba2NaCoF6 structure, as listed in the Alexandria database.

```
Ba2NaCoF6
1.0
2.8844 1.6653 12.1113
-2.8844 1.6653 12.1113
0.0000 -3.3307 12.1113
Ba Na Co F
4 2 2 12
Direct
0.1883 0.1883 0.1883
0.3093 0.3093 0.3093
0.6907 0.6907 0.6907
0.8117 0.8117 0.8117
0.4158 0.4158 0.4158
0.5842 0.5842 0.5842
0.0000 0.0000 0.0000
0.5000 0.5000 0.5000
0.2005 0.7047 0.7047
0.2106 0.2106 0.6842
0.2106 0.6842 0.2106
0.2953 0.2953 0.7995
0.2953 0.7995 0.2953
0.3158 0.7894 0.7894
0.6842 0.2106 0.2106
0.7047 0.2005 0.7047
0.7047 0.7047 0.2005
0.7894 0.3158 0.7894
0.7894 0.7894 0.3158
0.7995 0.2953 0.2953
```

- energy (eV/atom) = -4.969
- DOS(E_F) (states/eV/atom) = 0.210
- total magnetization (μB per formula unit) = 2.010

---

No. 7
First-principles (PBE with a Hubbard U) data for a geometry-optimized Ba2Co3NiF12 structure, as listed in the Alexandria database.

```
Ba2Co3NiF12
1.0
3.7636 2.1729 5.9153
-3.7636 2.1729 5.9153
0.0000 -4.3458 5.9153
Ba Co Ni F
2 3 1 12
Direct
0.1767 0.1767 0.1767
0.8233 0.8233 0.8233
0.0000 0.5000 0.5000
0.5000 0.0000 0.5000
0.5000 0.5000 0.0000
0.5000 0.5000 0.5000
0.1687 0.1687 0.5511
0.1687 0.5511 0.1687
0.1759 0.5786 0.5786
0.4214 0.4214 0.8241
0.4214 0.8241 0.4214
0.4489 0.8313 0.8313
0.5511 0.1687 0.1687
0.5786 0.1759 0.5786
0.5786 0.5786 0.1759
0.8241 0.4214 0.4214
0.8313 0.4489 0.8313
0.8313 0.8313 0.4489
```

- energy (eV/atom) = -5.078
- DOS(E_F) (states/eV/atom) = 0.000
- total magnetization (μB per formula unit) = 11.000

---

No. 8
First-principles (PBE with a Hubbard U) data for a geometry-optimized Ba2CoNi3F12 structure, as listed in the Alexandria database.

```
Ba2CoNi3F12
1.0
3.5909 2.0732 5.8244
-3.5909 2.0732 5.8244
0.0000 -4.1464 5.8244
Ba Co Ni F
2 1 3 12
Direct
0.1236 0.1236 0.1236
0.8764 0.8764 0.8764
0.5000 0.5000 0.5000
0.0000 0.5000 0.5000
0.5000 0.0000 0.5000
0.5000 0.5000 0.0000
0.1546 0.5943 0.5943
0.1622 0.1622 0.5920
0.1622 0.5920 0.1622
0.4057 0.4057 0.8454
0.4057 0.8454 0.4057
0.4080 0.8378 0.8378
0.5920 0.1622 0.1622
0.5943 0.1546 0.5943
0.5943 0.5943 0.1546
0.8378 0.4080 0.8378
0.8378 0.8378 0.4080
0.8454 0.4057 0.4057
```

- energy (eV/atom) = -4.759
- DOS(E_F) (states/eV/atom) = 0.388
- total magnetization (μB per formula unit) = 9.000

---

No. 9
First-principles (PBE with a Hubbard U) data for a geometry-optimized BaCoO2F structure, as listed in the Alexandria database.

```
BaCoO2F
1.0
3.9380 0.0000 0.0000
0.0000 3.9380 0.0000
0.0000 0.0000 4.3537
Ba Co O F
1 1 2 1
Direct
0.0000 0.0000 0.0000
0.5000 0.5000 0.5000
0.0000 0.5000 0.5000
0.5000 0.0000 0.5000
0.5000 0.5000 0.0000
```

- energy (eV/atom) = -5.818
- DOS(E_F) (states/eV/atom) = 0.682
- total magnetization (μB per formula unit) = 3.412

---

No. 10
First-principles (PBE with a Hubbard U) data for a geometry-optimized Ba2CoOF5 structure, as listed in the Alexandria database.

```
Ba2CoOF5
1.0
-2.8320 2.8320 4.2869
2.8320 -2.8320 4.2869
2.8320 2.8320 -4.2869
Ba Co O F
2 1 1 5
Direct
0.0000 0.5000 0.5000
0.5000 0.0000 0.5000
0.2578 0.2578 0.0000
0.4699 0.4699 0.0000
0.0151 0.0151 0.5301
0.0151 0.4850 0.0000
0.0222 0.0222 0.0000
0.4850 0.0151 0.0000
0.4850 0.4850 0.4699
```

- energy (eV/atom) = -5.450
- total magnetization (μB per formula unit) = 0.000

---

No. 11
First-principles (PBE with a Hubbard U) data for a geometry-optimized BaCoO2F structure, as listed in the Alexandria database.

```
BaCoO2F
1.0
4.7557 0.0000 0.0000
0.0000 4.7557 0.0000
0.0000 0.0000 4.8778
Ba Co O F
1 1 2 1
Direct
0.0000 0.0000 0.0000
0.5000 0.5000 0.5000
0.0000 0.5000 0.0000
0.5000 0.0000 0.0000
0.0000 0.0000 0.5000
```

- energy (eV/atom) = -4.199
- DOS(E_F) (states/eV/atom) = 0.678
- total magnetization (μB per formula unit) = 3.554

---

No. 12
First-principles (PBE with a Hubbard U) data for a geometry-optimized BaCoPdF6 structure, as listed in the Alexandria database.

```
BaCoPdF6
1.0
-3.5767 3.6532 5.2599
3.5767 -3.6532 5.2599
3.5767 3.6532 -5.2599
Ba Co Pd F
2 2 2 12
Direct
0.3341 0.0841 0.2500
0.6659 0.9159 0.7500
0.0000 0.0000 0.5000
0.0000 0.5000 0.0000
0.0000 0.5000 0.5000
0.5000 0.5000 0.0000
0.0585 0.3219 0.1497
0.0585 0.9088 0.7366
0.0704 0.3204 0.7500
0.3278 0.0912 0.6497
0.3278 0.6781 0.2366
0.3683 0.6183 0.7500
0.6317 0.3817 0.2500
0.6722 0.3219 0.7634
0.6722 0.9088 0.3503
0.9296 0.6796 0.2500
0.9415 0.0912 0.2634
0.9415 0.6781 0.8503
```

- energy (eV/atom) = -4.882
- DOS(E_F) (states/eV/atom) = 0.261
- total magnetization (μB per formula unit) = 5.010

---

No. 13
First-principles (PBE with a Hubbard U) data for a geometry-optimized RbBaCo2F8 structure, as listed in the Alexandria database.

```
RbBaCo2F8
1.0
5.9835 0.0000 0.0000
-2.9917 5.1818 0.0000
0.0000 0.0000 8.6412
Rb Ba Co F
1 1 2 8
Direct
0.0000 0.0000 0.0000
0.0000 0.0000 0.5000
0.3333 0.6667 0.7959
0.6667 0.3333 0.2041
0.1007 0.3420 0.7133
0.2413 0.8993 0.7133
0.3333 0.6667 0.0073
0.3420 0.2413 0.2867
0.6580 0.7587 0.7133
0.6667 0.3333 0.9927
0.7587 0.1007 0.2867
0.8993 0.6580 0.2867
```

- energy (eV/atom) = -4.863
- DOS(E_F) (states/eV/atom) = 1.302
- total magnetization (μB per formula unit) = 7.000

---

No. 14
First-principles (PBE with a Hubbard U) data for a geometry-optimized RbBaCoF6 structure, as listed in the Alexandria database.

```
RbBaCoF6
1.0
6.4392 0.0000 0.0000
-3.2196 5.5765 0.0000
0.0000 0.0000 8.7116
Rb Ba Co F
2 2 2 12
Direct
0.0000 0.0000 0.0000
0.0000 0.0000 0.5000
0.3333 0.6667 0.2500
0.6667 0.3333 0.7500
0.3333 0.6667 0.7500
0.6667 0.3333 0.2500
0.0894 0.4254 0.6309
0.0894 0.6640 0.8691
0.3360 0.4254 0.8691
0.3360 0.9106 0.6309
0.4254 0.0894 0.1309
0.4254 0.3360 0.3691
0.5746 0.6640 0.6309
0.5746 0.9106 0.8691
0.6640 0.0894 0.3691
0.6640 0.5746 0.1309
0.9106 0.3360 0.1309
0.9106 0.5746 0.3691
```

- energy (eV/atom) = -4.860
- DOS(E_F) (states/eV/atom) = 0.000
- total magnetization (μB per formula unit) = 0.093

---

No. 15
First-principles (PBE with a Hubbard U) data for a geometry-optimized BaCo2SbF8 structure, as listed in the Alexandria database.

```
BaCo2SbF8
1.0
4.4423 0.0000 0.0000
-0.3704 5.3265 0.0000
-0.1929 -0.9537 8.2680
Ba Co Sb F
1 2 1 8
Direct
0.0000 0.0000 0.0000
0.4820 0.5350 0.7034
0.5180 0.4650 0.2966
0.0000 0.0000 0.5000
0.1129 0.2428 0.3085
0.1509 0.2485 0.7279
0.3858 0.7348 0.4902
0.4564 0.7358 0.9200
0.5436 0.2642 0.0800
0.6142 0.2652 0.5098
0.8491 0.7515 0.2721
0.8871 0.7572 0.6915
```

- energy (eV/atom) = -4.957
- DOS(E_F) (states/eV/atom) = 0.566
- total magnetization (μB per formula unit) = 4.994

---

No. 16
First-principles (PBE with a Hubbard U) data for a geometry-optimized BaScCo2F structure, as listed in the Alexandria database.

```
BaScCo2F
1.0
5.7578 0.0000 0.0000
0.0000 5.7578 0.0000
0.0000 0.0000 4.6426
Ba Sc Co F
1 1 2 1
Direct
0.0000 0.0000 0.0000
0.5000 0.5000 0.5000
0.0000 0.5000 0.0000
0.5000 0.0000 0.0000
0.0000 0.0000 0.5000
```

- energy (eV/atom) = -3.711
- DOS(E_F) (states/eV/atom) = 0.793
- total magnetization (μB per formula unit) = 3.207

---

No. 17
First-principles (PBE with a Hubbard U) data for a geometry-optimized Ba2CoSeF structure, as listed in the Alexandria database.

```
Ba2CoSeF
1.0
5.6584 0.0000 0.0000
0.0000 5.6584 0.0000
0.0000 0.0000 4.1481
Ba Co Se F
2 1 1 1
Direct
0.0000 0.5000 0.0000
0.5000 0.0000 0.0000
0.0000 0.0000 0.0000
0.5000 0.5000 0.5000
0.0000 0.0000 0.5000
```

- energy (eV/atom) = -3.892
- DOS(E_F) (states/eV/atom) = 0.261
- total magnetization (μB per formula unit) = 0.329

---

No. 18
First-principles (PBE with a Hubbard U) data for a geometry-optimized BaSrCoF6 structure, as listed in the Alexandria database.

```
BaSrCoF6
1.0
5.9760 0.0000 0.0000
-2.9880 5.1754 0.0000
0.0000 0.0000 10.8435
Ba Sr Co F
2 2 2 12
Direct
0.0000 0.0000 0.0000
0.0000 0.0000 0.5000
0.3333 0.6667 0.2500
0.6667 0.3333 0.7500
0.3333 0.6667 0.7500
0.6667 0.3333 0.2500
0.0431 0.3786 0.6429
0.0431 0.6645 0.8571
0.3355 0.3786 0.8571
0.3355 0.9569 0.6429
0.3786 0.0431 0.1429
0.3786 0.3355 0.3571
0.6214 0.6645 0.6429
0.6214 0.9569 0.8571
0.6645 0.0431 0.3571
0.6645 0.6214 0.1429
0.9569 0.3355 0.1429
0.9569 0.6214 0.3571
```

- energy (eV/atom) = -5.475
- DOS(E_F) (states/eV/atom) = 0.000
- total magnetization (μB per formula unit) = 3.000

---

No. 19
First-principles (PBE with a Hubbard U) data for a geometry-optimized BaTlCoF6 structure, as listed in the Alexandria database.

```
BaTlCoF6
1.0
3.0855 -5.3046 0.0000
3.0855 5.3046 0.0000
-0.0060 0.0000 5.2653
Ba Tl Co F
1 1 1 6
Direct
0.0000 0.0000 0.0000
0.3374 0.6626 0.5000
0.6688 0.3312 0.5000
0.3855 0.3028 0.2864
0.4102 0.0996 0.7163
0.6908 0.0804 0.2841
0.6972 0.6145 0.7136
0.9004 0.5898 0.2837
0.9196 0.3092 0.7159
```

- energy (eV/atom) = -4.828
- total magnetization (μB per formula unit) = 3.997

---

No. 20
First-principles (PBE with a Hubbard U) data for a geometry-optimized Ba2TlCoF8 structure, as listed in the Alexandria database.

```
Ba2TlCoF8
1.0
4.6205 0.0000 0.0000
0.0000 8.4845 0.0000
-1.0657 0.0000 5.5237
Ba Tl Co F
2 1 1 8
Direct
0.0000 0.2402 0.0000
0.0000 0.7598 0.0000
0.5000 0.5000 0.5000
0.5000 0.0000 0.5000
0.0844 0.5000 0.7774
0.1281 0.0000 0.3104
0.4272 0.1720 0.7209
0.4272 0.8280 0.7209
0.5728 0.1720 0.2791
0.5728 0.8280 0.2791
0.8719 0.0000 0.6896
0.9156 0.5000 0.2226
```

- energy (eV/atom) = -4.989
- total magnetization (μB per formula unit) = 1.999